Below is crystalline SmMgCu2Ge2 at its relaxed geometry, with properties calculated at the PBE level.

```
data_SmMgCu2Ge2
_chemical_formula_sum 'Sm1 Mg1 Cu2 Ge2'
_cell_length_a 4.2286
_cell_length_b 4.2286
_cell_length_c 6.9403
_cell_angle_alpha 90.00
_cell_angle_beta 90.00
_cell_angle_gamma 120.00
_symmetry_space_group_name_H-M 'P -3 m 1'
_symmetry_Int_Tables_number 164
_symmetry_space_group_name_Hall '-P 3 2"'
loop_
_atom_site_label
_atom_site_type_symbol
_atom_site_fract_x
_atom_site_fract_y
_atom_site_fract_z
Sm1 Sm 0.0000 0.0000 0.0000
Mg1 Mg 0.0000 0.0000 0.5000
Cu1 Cu 0.3333 0.6667 0.6870
Ge1 Ge 0.3333 0.6667 0.2631
```

Mass density: 6.91 g/cm3
D(E_F): 0.36 states/eV/atom

---

Below is crystalline Li3CrNi at its relaxed geometry, with properties calculated at the PBE level.

```
data_Li3CrNi
_chemical_formula_sum 'Li3 Cr1 Ni1'
_cell_length_a 4.4653
_cell_length_b 4.4653
_cell_length_c 4.4653
_cell_angle_alpha 90.00
_cell_angle_beta 90.00
_cell_angle_gamma 90.00
_symmetry_space_group_name_H-M 'P m -3 m'
_symmetry_Int_Tables_number 221
_symmetry_space_group_name_Hall '-P 4 2 3'
loop_
_atom_site_label
_atom_site_type_symbol
_atom_site_fract_x
_atom_site_fract_y
_atom_site_fract_z
Li1 Li 0.0000 0.0000 0.5000
Cr1 Cr 0.5000 0.5000 0.5000
Ni1 Ni 0.0000 0.0000 0.0000
```

Polymorph energy (0 for the lowest one): 0.0 meV per atom
Mass density: 2.45 g/cm3
D(E_F): 0.32 states/eV/atom

---

Below is crystalline Cs3Pu3MgSe8 at its relaxed geometry, with properties calculated at the PBE level.

```
data_Cs3Pu3MgSe8
_chemical_formula_sum 'Cs6 Pu6 Mg2 Se16'
_cell_length_a 14.6508
_cell_length_b 8.4158
_cell_length_c 9.7802
_cell_angle_alpha 90.00
_cell_angle_beta 119.99
_cell_angle_gamma 90.00
_symmetry_space_group_name_H-M 'C 1 2/m 1'
_symmetry_Int_Tables_number 12
_symmetry_space_group_name_Hall '-C 2y'
loop_
_atom_site_label
_atom_site_type_symbol
_atom_site_fract_x
_atom_site_fract_y
_atom_site_fract_z
Cs1 Cs 0.0000 0.0000 0.0000
Cs2 Cs 0.2500 0.2500 0.0000
Pu1 Pu 0.0000 0.5000 0.5000
Pu2 Pu 0.2500 0.2500 0.5000
Mg1 Mg 0.0000 0.0000 0.5000
Se1 Se 0.0232 0.2474 0.3235
Se2 Se 0.2270 0.0000 0.6767
Se3 Se 0.2288 0.5000 0.6845
```

Mass density: 5.68 g/cm3
D(E_F): 2.35 states/eV/atom

---

Below is crystalline LiNiAs2 at its relaxed geometry, with properties calculated at the PBE level.

```
data_LiNiAs2
_chemical_formula_sum 'Li2 Ni2 As4'
_cell_length_a 7.0026
_cell_length_b 3.5114
_cell_length_c 5.6048
_cell_angle_alpha 90.00
_cell_angle_beta 104.96
_cell_angle_gamma 90.00
_symmetry_space_group_name_H-M 'C 1 2/m 1'
_symmetry_Int_Tables_number 12
_symmetry_space_group_name_Hall '-C 2y'
loop_
_atom_site_label
_atom_site_type_symbol
_atom_site_fract_x
_atom_site_fract_y
_atom_site_fract_z
Li1 Li 0.0000 0.0000 0.0000
Ni1 Ni 0.0000 0.5000 0.5000
As1 As 0.2298 0.0000 0.6881
```

Polymorph energy (0 for the lowest one): 18.9 meV per atom
Mass density: 5.37 g/cm3
D(E_F): 0.27 states/eV/atom

---

Below is crystalline TaAs at its relaxed geometry, with properties calculated at the PBE level.

```
data_TaAs
_chemical_formula_sum 'Ta8 As8'
_cell_length_a 7.9952
_cell_length_b 7.9952
_cell_length_c 7.9952
_cell_angle_alpha 90.00
_cell_angle_beta 90.00
_cell_angle_gamma 90.00
_symmetry_space_group_name_H-M 'I -4 3 m'
_symmetry_Int_Tables_number 217
_symmetry_space_group_name_Hall 'I -4 2 3'
loop_
_atom_site_label
_atom_site_type_symbol
_atom_site_fract_x
_atom_site_fract_y
_atom_site_fract_z
Ta1 Ta 0.1259 0.1259 0.8741
As1 As 0.1863 0.1863 0.1863
```

Mass density: 6.65 g/cm3
D(E_F): 1.05 states/eV/atom

---

Below is crystalline SnSbAsSe2 at its relaxed geometry, with properties calculated at the PBE level.

```
data_SnSbAsSe2
_chemical_formula_sum 'Sn1 Sb1 As1 Se2'
_cell_length_a 5.3150
_cell_length_b 5.3150
_cell_length_c 5.2718
_cell_angle_alpha 90.00
_cell_angle_beta 90.00
_cell_angle_gamma 90.00
_symmetry_space_group_name_H-M 'P 4/m m m'
_symmetry_Int_Tables_number 123
_symmetry_space_group_name_Hall '-P 4 2'
loop_
_atom_site_label
_atom_site_type_symbol
_atom_site_fract_x
_atom_site_fract_y
_atom_site_fract_z
Sn1 Sn 0.0000 0.0000 0.0000
Sb1 Sb 0.5000 0.5000 0.5000
As1 As 0.5000 0.5000 0.0000
Se1 Se 0.0000 0.5000 0.5000
```

Polymorph energy (0 for the lowest one): 0.0 meV per atom
Mass density: 5.28 g/cm3
D(E_F): 0.77 states/eV/atom

---

Below is crystalline Fe2HgAs at its relaxed geometry, with properties calculated at the PBE level.

```
data_Fe2HgAs
_chemical_formula_sum 'Fe2 Hg1 As1'
_cell_length_a 3.0127
_cell_length_b 4.0555
_cell_length_c 5.6062
_cell_angle_alpha 90.00
_cell_angle_beta 104.20
_cell_angle_gamma 90.00
_symmetry_space_group_name_H-M 'P 1 m 1'
_symmetry_Int_Tables_number 6
_symmetry_space_group_name_Hall 'P -2y'
loop_
_atom_site_label
_atom_site_type_symbol
_atom_site_fract_x
_atom_site_fract_y
_atom_site_fract_z
Fe1 Fe 0.0000 0.0000 0.0000
Fe2 Fe 0.1102 0.5000 0.2553
Hg1 Hg 0.7140 0.0000 0.4740
As1 As 0.4502 0.5000 0.8994
```

Polymorph energy (0 for the lowest one): 134.1 meV per atom
Mass density: 9.68 g/cm3
D(E_F): 0.75 states/eV/atom

---

Below is crystalline Sr2GeRuO6 at its relaxed geometry, with properties calculated at the PBE level.

```
data_Sr2GeRuO6
_chemical_formula_sum 'Sr8 Ge4 Ru4 O24'
_cell_length_a 7.8482
_cell_length_b 7.8482
_cell_length_c 7.8482
_cell_angle_alpha 90.00
_cell_angle_beta 90.00
_cell_angle_gamma 90.00
_symmetry_space_group_name_H-M 'F m -3 m'
_symmetry_Int_Tables_number 225
_symmetry_space_group_name_Hall '-F 4 2 3'
loop_
_atom_site_label
_atom_site_type_symbol
_atom_site_fract_x
_atom_site_fract_y
_atom_site_fract_z
Sr1 Sr 0.2500 0.2500 0.2500
Ge1 Ge 0.0000 0.0000 0.0000
Ru1 Ru 0.0000 0.0000 0.5000
O1 O 0.0000 0.0000 0.2431
```

Mass density: 6.11 g/cm3
D(E_F): 0.39 states/eV/atom

---

| no. | DFT total energy (eV per atom) |
| --- | --- |
| 1 | -4.437 |
| 2 | -3.574 |
| 3 | -6.296 |
| 4 | -4.566 |
| 5 | -7.979 |
| 6 | -3.530 |
| 7 | -5.170 |
| 8 | -6.628 |